HgSb2Ru (PBE, relaxed); volume = 95.5 Å³/f.u.; formation energy (no corrections) = -1.08 kJ/mol of atoms
1.0
-1.071 0.902 2.883
-0.244 -3.088 0.875
8.455 -2.847 4.030
Hg Ru Sb
1 1 2
Direct
0.500 0.250 0.250
0.500 0.750 0.750
0.000 0.071 0.931
0.000 0.429 0.569


Ge5TeSe4 (PBE, relaxed); volume = 235.8 Å³/f.u.; formation energy (no corrections) = -17.13 kJ/mol of atoms
1.0
-0.696 -0.250 3.989
6.254 -0.731 3.108
2.130 8.304 2.956
Ge Te Se
5 1 4
Direct
0.205 0.897 0.693
0.795 0.103 0.307
0.398 0.316 0.889
0.000 0.500 0.500
0.602 0.684 0.111
0.000 0.000 0.000
0.595 0.205 0.605
0.203 0.388 0.206
0.797 0.612 0.794
0.405 0.795 0.395


PCl2 (PBE, relaxed); volume = 75.4 Å³/f.u.; formation energy (no corrections) = 48.61 kJ/mol of atoms
1.0
18.161 0.025 0.000
17.227 5.750 0.000
-17.694 -2.888 2.900
P Cl
4 8
Direct
0.960 0.960 0.000
0.040 0.040 0.000
0.210 0.710 0.500
0.290 0.790 0.500
0.750 0.750 0.000
0.250 0.250 0.000
0.000 0.500 0.500
0.500 0.000 0.500
0.573 0.573 0.000
0.427 0.427 0.000
0.823 0.323 0.500
0.677 0.177 0.500


Ac3YAs4 (PBE, relaxed); volume = 249.7 Å³/f.u.; E_form = -1.463 eV per atom
1.0
7.708 0.068 0.000
-2.638 7.242 0.000
0.000 0.000 8.916
Y Ac As
2 6 8
Direct
0.750 0.000 0.878
0.250 0.000 0.122
0.750 0.000 0.372
0.250 0.000 0.628
0.750 0.500 0.628
0.750 0.500 0.123
0.250 0.500 0.372
0.250 0.500 0.877
0.991 0.243 0.633
0.501 0.234 0.883
0.491 0.243 0.367
0.001 0.234 0.117
0.999 0.766 0.883
0.509 0.757 0.633
0.499 0.766 0.117
0.009 0.757 0.367


La2ZrNi3H12 (PBE, relaxed); volume = 160.5 Å³/f.u.
1.0
6.080 -0.002 -0.002
3.001 5.288 -0.002
3.001 1.747 4.991
La Zr Ni H
2 1 3 12
Direct
0.612 0.612 0.612
0.388 0.388 0.388
0.000 0.000 0.000
0.500 0.000 0.000
0.000 0.500 0.000
0.000 0.000 0.500
0.286 0.286 0.879
0.877 0.877 0.411
0.411 0.877 0.877
0.879 0.286 0.286
0.877 0.411 0.877
0.286 0.879 0.286
0.714 0.714 0.121
0.123 0.123 0.589
0.589 0.123 0.123
0.121 0.714 0.714
0.123 0.589 0.123
0.714 0.121 0.714


ThMg5Tl6 (PBE, relaxed); volume = 307.2 Å³/f.u.; E_form = -0.066 eV per atom
1.0
4.921 0.024 -1.394
-1.047 6.570 -3.424
0.083 0.531 9.171
Mg Tl Th
5 6 1
Direct
0.662 0.166 0.329
0.330 0.329 0.655
0.000 0.500 0.000
0.670 0.671 0.345
0.338 0.834 0.671
0.832 0.571 0.658
0.830 0.088 0.658
0.500 0.727 0.002
0.500 0.273 0.998
0.170 0.912 0.342
0.168 0.429 0.342
0.000 0.000 0.000


Number 1: total energy -17.87 eV per formula unit, spin magnetization 0.5 μB per formula unit. Number 2: total energy -41.94 eV per formula unit, spin magnetization 0.0 μB per formula unit. Number 3: total energy -7.59 eV per formula unit, spin magnetization 0.0 μB per formula unit. Number 4: total energy -49.09 eV per formula unit, spin magnetization 0.0 μB per formula unit. Number 5: total energy -81.62 eV per formula unit, spin magnetization 0.0 μB per formula unit. Number 6: total energy -30.38 eV per formula unit, spin magnetization 0.0 μB per formula unit.